Entry 1:
VASP calculation (PBE with a Hubbard U) on an optimized crystal structure of CoHgTeO.

POSCAR file:
```
CoHgTeO
1.0
4.127 0.000 0.000
0.000 4.127 0.000
0.000 0.000 8.582
O Hg Co Te
2 2 2 2
Direct
0.250 0.250 0.538
0.750 0.750 0.462
0.750 0.250 0.000
0.250 0.750 0.000
0.750 0.750 0.235
0.250 0.250 0.765
0.750 0.750 0.681
0.250 0.250 0.319
```

## Properties
M_tot in μB per atom: 0.426



Entry 2:
VASP calculation (PBE with a Hubbard U) on an optimized crystal structure of CoHgTeO.

POSCAR file:
```
CoHgTeO
1.0
6.863 0.000 0.000
0.000 7.611 0.000
0.000 0.000 6.727
Hg Co Te O
4 4 4 4
Direct
0.600 0.871 0.438
0.900 0.871 0.938
0.400 0.129 0.938
0.100 0.129 0.438
0.037 0.680 0.547
0.963 0.320 0.047
0.463 0.680 0.047
0.537 0.320 0.547
0.900 0.369 0.665
0.600 0.369 0.165
0.100 0.631 0.165
0.400 0.631 0.665
0.409 0.108 0.600
0.591 0.892 0.100
0.909 0.892 0.600
0.091 0.108 0.100
```

## Properties
M_tot in μB per atom: 0.750



Entry 3:
VASP calculation (PBE with a Hubbard U) on an optimized crystal structure of CoHgTeO.

POSCAR file:
```
CoHgTeO
1.0
-2.549 -4.893 3.838
0.605 -2.154 -2.345
13.839 -2.562 5.924
Co Hg O Te
4 4 4 4
Direct
0.849 0.250 0.899
0.651 0.750 0.399
0.151 0.750 0.101
0.349 0.250 0.601
0.439 0.750 0.804
0.939 0.750 0.696
0.061 0.250 0.304
0.561 0.250 0.196
0.714 0.250 0.333
0.786 0.750 0.833
0.286 0.750 0.667
0.214 0.250 0.167
0.729 0.250 0.551
0.229 0.250 0.949
0.771 0.750 0.051
0.271 0.750 0.449
```

## Properties
M_tot in μB per atom: 0.666



Entry 4:
VASP calculation (PBE with a Hubbard U) on an optimized crystal structure of CoHgTeO.

POSCAR file:
```
CoHgTeO
1.0
-1.684 -5.351 -4.533
8.860 -7.202 5.212
-4.960 -2.572 4.878
O Te Hg Co
8 8 8 8
Direct
0.766 0.781 0.918
0.234 0.281 0.582
0.734 0.219 0.418
0.266 0.719 0.082
0.766 0.719 0.418
0.266 0.781 0.582
0.234 0.219 0.082
0.734 0.281 0.918
0.998 0.485 0.252
0.498 0.485 0.248
0.002 0.515 0.748
0.502 0.985 0.252
0.502 0.515 0.752
0.998 0.015 0.752
0.498 0.015 0.748
0.002 0.985 0.248
0.532 0.247 0.187
0.468 0.747 0.313
0.968 0.747 0.187
0.468 0.753 0.813
0.032 0.247 0.313
0.032 0.253 0.813
0.968 0.753 0.687
0.532 0.253 0.687
0.261 0.072 0.015
0.239 0.928 0.515
0.739 0.572 0.485
0.761 0.072 0.485
0.739 0.928 0.985
0.239 0.572 0.015
0.761 0.428 0.985
0.261 0.428 0.515
```

## Properties
M_tot in μB per atom: 0.684



Entry 5:
VASP calculation (PBE with a Hubbard U) on an optimized crystal structure of CoHgTeO.

POSCAR file:
```
CoHgTeO
1.0
-1.078 1.026 5.804
-0.698 -3.946 0.568
13.455 -1.970 2.848
Te Co O Hg
4 4 4 4
Direct
0.249 0.750 0.418
0.751 0.250 0.582
0.749 0.750 0.082
0.251 0.250 0.918
0.638 0.250 0.197
0.862 0.750 0.697
0.138 0.250 0.303
0.362 0.750 0.803
0.184 0.750 0.690
0.684 0.750 0.810
0.816 0.250 0.310
0.316 0.250 0.190
0.221 0.750 0.099
0.279 0.250 0.599
0.721 0.750 0.401
0.779 0.250 0.901
```

## Properties
M_tot in μB per atom: 0.734



Entry 6:
VASP calculation (PBE with a Hubbard U) on an optimized crystal structure of CoHgTeO.

POSCAR file:
```
CoHgTeO
1.0
6.882 -2.025 0.000
6.882 2.025 0.000
0.000 0.000 6.043
O Te Co Hg
2 2 2 2
Direct
0.938 0.938 0.056
0.062 0.062 0.556
0.334 0.334 0.495
0.666 0.666 0.995
0.950 0.950 0.374
0.050 0.050 0.874
0.656 0.656 0.467
0.344 0.344 0.967
```

## Properties
M_tot in μB per atom: 0.737



Entry 7:
VASP calculation (PBE with a Hubbard U) on an optimized crystal structure of CoHgTeO.

POSCAR file:
```
CoHgTeO
1.0
-5.504 2.317 0.696
-3.845 -8.537 -1.983
0.136 -1.371 5.639
O Co Hg Te
4 4 4 4
Direct
0.893 0.942 0.641
0.393 0.058 0.641
0.107 0.058 0.141
0.607 0.942 0.141
0.894 0.942 0.982
0.606 0.942 0.482
0.394 0.058 0.982
0.106 0.058 0.482
0.497 0.323 0.563
0.997 0.677 0.563
0.003 0.323 0.063
0.503 0.677 0.063
0.007 0.673 0.064
0.493 0.673 0.564
0.993 0.327 0.564
0.507 0.327 0.064
```

## Properties
M_tot in μB per atom: 0.742



Entry 8:
VASP calculation (PBE with a Hubbard U) on an optimized crystal structure of CoHgTeO.

POSCAR file:
```
CoHgTeO
1.0
7.521 -1.626 0.000
7.521 1.626 0.000
0.000 0.000 6.722
O Co Hg Te
2 2 2 2
Direct
0.093 0.093 0.517
0.907 0.907 0.017
0.338 0.338 0.960
0.662 0.662 0.460
0.956 0.956 0.353
0.044 0.044 0.853
0.691 0.691 0.063
0.309 0.309 0.563
```

## Properties
M_tot in μB per atom: 0.681



Number 1: energy -26.5 eV per cell, ΔE to the lowest computed polymorph 1.79 eV/f.u.. Number 2: energy -56.7 eV per cell, ΔE to the lowest computed polymorph 0.88 eV/f.u.. Number 3: energy -56.7 eV per cell, ΔE to the lowest computed polymorph 0.88 eV/f.u.. Number 4: energy -109.6 eV per cell, ΔE to the lowest computed polymorph 1.36 eV/f.u.. Number 5: energy -58.2 eV per cell, ΔE to the lowest computed polymorph 0.52 eV/f.u.. Number 6: energy -29.1 eV per cell, ΔE to the lowest computed polymorph 0.52 eV/f.u.. Number 7: energy -60.2 eV per cell, ΔE to the lowest computed polymorph 0.00 eV/f.u.. Number 8: energy -28.4 eV per cell, ΔE to the lowest computed polymorph 0.88 eV/f.u..